Entry 1:
Compound: Ru3PbC
Source: Alexandria
Functional: PBE-GGA
Structure: relaxed

Results
- E_form: 17.6 eV/f.u.
- Energy relative to the lowest polymorph listed for this composition: 16.110 eV/f.u.

Cell: 5.0422 5.0422 5.0422 Å, 90.00 90.00 90.00°
Closest atoms and distances in Å follow each position.
Space group Pm-3m (No. 221)
Symmetry-distinct sites (fractional):
Ru 0.0000 0.0000 0.5000  2 Pb 2.52
Pb 0.0000 0.0000 0.0000  6 Ru 2.52
C 0.5000 0.5000 0.5000  12 Ru 3.57

=====

Entry 2:
Compound: Ba2HgAsPd6
Source: Alexandria
Functional: PBE-GGA
Structure: relaxed

Results
- E_form: -5.3 eV/f.u.

Cell: 12.2269 5.7703 8.6559 Å, 90.00 129.28 90.00°
Closest atoms and distances in Å follow each position.
Space group C2/m (No. 12)
Symmetry-distinct sites (fractional):
Ba 0.2397 0.0000 0.2023  9 Pd 3.27-3.64
Hg 0.0000 0.5000 0.0000  6 Pd 2.78
As 0.0000 0.0000 0.5000  6 Pd 2.45-2.55
Pd 0.0225 0.2590 0.2969  1 As 2.45, 1 Pd 2.74
Pd 0.2489 0.0000 0.6091  1 As 2.55, 4 Pd 2.74-2.78, 1 Hg 2.78

=====

Entry 3:
Compound: TlZn2GaPt
Source: Alexandria
Functional: PBE-GGA
Structure: relaxed

Results
- E_form: -0.9 eV/f.u.

Cell: 4.9472 4.9472 4.7908 Å, 90.00 90.00 90.00°
Closest atoms and distances in Å follow each position.
Space group P4/mmm (No. 123)
Symmetry-distinct sites (fractional):
Tl 0.0000 0.0000 0.0000  8 Zn 3.44, 4 Ga 3.50
Zn 0.0000 0.5000 0.5000  2 Pt 2.47
Ga 0.5000 0.5000 0.0000  2 Pt 2.40
Pt 0.5000 0.5000 0.5000  2 Ga 2.40, 4 Zn 2.47

=====

Entry 4:
Compound: TaNi2Rh
Source: Alexandria
Functional: PBE-GGA
Structure: relaxed

Results
- E_form: 0.2 eV/f.u.

Cell: 2.7475 2.7475 25.5383 Å, 90.00 90.00 120.00°
Closest atoms and distances in Å follow each position.
Space group R3m (No. 160, hexagonal axes)
Symmetry-distinct sites (fractional):
Ta 0.0000 0.0000 0.0000  3 Ni 2.69, 6 Ta 2.75, 3 Rh 2.76
Ni 0.0000 0.0000 0.2481  9 Ni 2.52-2.75, 3 Ta 2.69
Ni 0.0000 0.0000 0.5049  9 Ni 2.52-2.75, 3 Rh 2.65
Rh 0.0000 0.0000 0.7552  3 Ni 2.65, 6 Rh 2.75, 3 Ta 2.76

=====

It is found that the DOS(E_F) values, taken in the order of the records, are 8.3; 6.4; 1.5; 18.0 states/eV/cell.